# TcHg2Au | Alexandria | GGA-PBE | optimized geometry
# Spin magnetization, μB per atom: 0.000
# Total energy, eV per atom: -3.109
# Energy of formation, eV/atom: 0.4525
# Energy above the most stable polymorph in this dataset, eV/atom: 0.0184
data_TcHg2Au
_symmetry_space_group_name_H-M 'C 1 m 1'
_symmetry_Int_Tables_number 8
_cell_length_a 11.010
_cell_length_b 2.881
_cell_length_c 5.254
_cell_angle_alpha 90.00
_cell_angle_beta 114.84
_cell_angle_gamma 90.00
loop_
_symmetry_equiv_pos_as_xyz
'x,y,z'
'x,-y,z'
'x+1/2,y+1/2,z'
'x+1/2,-y+1/2,z'
loop_
_atom_site_label
_atom_site_type_symbol
_atom_site_fract_x
_atom_site_fract_y
_atom_site_fract_z
_atom_site_occupancy
Tc1 Tc 0.000 0.000 0.000 1
Hg1 Hg 0.256 0.000 0.921 1
Hg2 Hg 0.482 0.000 0.507 1
Au1 Au 0.220 0.500 0.393 1

# TlTcHg2Au | Alexandria | GGA-PBE | optimized geometry
# Spin magnetization, μB per atom: 0.471
# Total energy, eV per atom: -2.475
# Energy of formation, eV/atom: 0.8479
data_TlTcHg2Au
_symmetry_space_group_name_H-M 'P 4/m m m'
_symmetry_Int_Tables_number 123
_symmetry_space_group_name_Hall '-P 4 2'
_cell_length_a 5.302
_cell_length_b 5.302
_cell_length_c 5.386
_cell_angle_alpha 90.00
_cell_angle_beta 90.00
_cell_angle_gamma 90.00
loop_
_atom_site_label
_atom_site_type_symbol
_atom_site_fract_x
_atom_site_fract_y
_atom_site_fract_z
_atom_site_occupancy
Tl1 Tl 0.000 0.000 0.000 1
Tc1 Tc 0.000 0.000 0.500 1
Hg1 Hg 0.000 0.500 0.500 1
Au1 Au 0.500 0.500 0.000 1

# Hg12Te5Au3 | Alexandria | GGA-PBE | optimized geometry
# Spin magnetization, μB per atom: 0.000
# Total energy, eV per atom: -1.459
# E_form (uncorrected), eV per formula unit: -0.03
data_Hg12Te5Au3
_symmetry_space_group_name_H-M 'I a -3 d'
_symmetry_Int_Tables_number 230
_symmetry_space_group_name_Hall '-I 4bd 2c 3'
_cell_length_a 16.975
_cell_length_b 16.975
_cell_length_c 16.975
_cell_angle_alpha 90.00
_cell_angle_beta 90.00
_cell_angle_gamma 90.00
loop_
_atom_site_label
_atom_site_type_symbol
_atom_site_fract_x
_atom_site_fract_y
_atom_site_fract_z
_atom_site_occupancy
Hg1 Hg 0.022 0.092 0.652 1
Te1 Te 0.000 0.000 0.000 1
Te2 Te 0.000 0.250 0.375 1
Au1 Au 0.000 0.250 0.125 1